VASP calculation (PBE-GGA) on crystalline TbCeNiRh at its relaxed geometry.

Summary:
Energy above the lowest structure with this stoichiometry   0 meV/atom
Formation energy   -0.60 eV/atom
Total energy   -6.520 eV per atom

CIF file:
```
data_TbCeNiRh
_space_group_name_H-M_alt 'A m m 2'
_space_group_IT_number 38
_cell_length_a 4.4747
_cell_length_b 3.7091
_cell_length_c 10.0831
_cell_angle_alpha 90.00
_cell_angle_beta 90.00
_cell_angle_gamma 90.00
loop_
_space_group_symop_operation_xyz
'x,y,z'
'-x,-y,z'
'-x,y,z'
'x,-y,z'
'x,y+1/2,z+1/2'
'-x,-y+1/2,z+1/2'
'-x,y+1/2,z+1/2'
'x,-y+1/2,z+1/2'
loop_
_atom_site_label
_atom_site_fract_x
_atom_site_fract_y
_atom_site_fract_z
Tb1 0.0000 0.0000 0.0000
Ce1 0.5000 0.0000 0.7216
Ni1 0.0000 0.0000 0.2798
Rh1 0.5000 0.0000 0.4534
```



VASP calculation (PBE-GGA) on crystalline Nd2TiZn2Pd5 at its relaxed geometry.

Summary:
Formation energy   -0.62 eV/atom
Total energy   -5.216 eV per atom

CIF file:
```
data_Nd2TiZn2Pd5
_space_group_name_H-M_alt 'P 4/m b m'
_space_group_IT_number 127
_space_group_name_Hall '-P 4 2ab'
_cell_length_a 9.9401
_cell_length_b 9.9401
_cell_length_c 3.7449
_cell_angle_alpha 90.00
_cell_angle_beta 90.00
_cell_angle_gamma 90.00
loop_
_atom_site_label
_atom_site_fract_x
_atom_site_fract_y
_atom_site_fract_z
Nd1 0.1766 0.3234 0.0000
Ti1 0.0000 0.0000 0.0000
Zn1 0.1217 0.6217 0.0000
Pd1 0.0000 0.5000 0.5000
Pd2 0.0597 0.8005 0.5000
```



VASP calculation (PBE-GGA) on crystalline PuCrGaRh at its relaxed geometry.

Summary:
Formation energy   -0.27 eV/atom
Total energy   -8.850 eV per atom

CIF file:
```
data_PuCrGaRh
_space_group_name_H-M_alt 'F -4 3 m'
_space_group_IT_number 216
_space_group_name_Hall 'F -4 2 3'
_cell_length_a 6.4352
_cell_length_b 6.4352
_cell_length_c 6.4352
_cell_angle_alpha 90.00
_cell_angle_beta 90.00
_cell_angle_gamma 90.00
loop_
_atom_site_label
_atom_site_fract_x
_atom_site_fract_y
_atom_site_fract_z
Pu1 0.0000 0.0000 0.0000
Cr1 0.2500 0.2500 0.7500
Ga1 0.0000 0.0000 0.5000
Rh1 0.2500 0.2500 0.2500
```



formation energy of number 1 (TbCeNiRh)? -0.60 eV/atom



Look up the formation energy of the third one. -0.27 eV/atom



Which formula does entry 1 have? TbCeNiRh